<P>
First-principles (PBE) data for a geometry-optimized ZrBe2Tc structure, as listed in the Alexandria database.

extended XYZ file:
```
8
Lattice="7.8016 0.0000 0.0000 0.0000 3.4673 0.0000 -1.7394 0.0000 4.1107" Properties=species:S:1:pos:R:3 pbc="T T T"
Zr 0.0000 0.0000 0.0000
Zr 3.9008 1.7336 0.0000
Be 0.6847 0.0000 2.6328
Be 1.4766 1.7336 1.4780
Be 4.5855 1.7336 2.6328
Be 5.3774 0.0000 1.4780
Tc -0.8697 1.7336 2.0554
Tc 3.0311 0.0000 2.0554
```

Summary:
Its theoretical density is 6.2 g/cm³.


<Q>
First-principles (PBE) data for a geometry-optimized ZrBe2Tc structure, as listed in the Alexandria database.

extended XYZ file:
```
8
Lattice="3.3064 0.0000 0.0000 0.0000 4.0776 0.0000 0.0000 0.0000 8.0833" Properties=species:S:1:pos:R:3 pbc="T T T"
Zr 0.0000 0.0000 0.0000
Zr 1.6532 2.0388 4.0416
Be 0.0000 0.0000 3.5486
Be 0.0000 2.0388 6.2045
Be 1.6532 0.0000 2.1629
Be 1.6532 2.0388 7.5903
Tc 0.0000 2.0388 1.8346
Tc 1.6532 0.0000 5.8762
```

Summary:
Its theoretical density is 6.3 g/cm³.


<P> takes first place; second place is 11.7 kJ/mol of atoms up.


<P>
First-principles (PBE) data for a geometry-optimized ZrBe2Tc structure, as listed in the Alexandria database.

extended XYZ file:
```
16
Lattice="5.9698 0.0000 0.0000 0.0000 5.9698 0.0000 0.0000 0.0000 5.9698" Properties=species:S:1:pos:R:3 pbc="T T T"
Zr 0.0000 0.0000 0.0000
Zr 0.0000 2.9849 2.9849
Zr 2.9849 0.0000 2.9849
Zr 2.9849 2.9849 0.0000
Be 1.4925 1.4925 1.4925
Be 1.4925 1.4925 4.4774
Be 1.4925 4.4774 1.4925
Be 1.4925 4.4774 4.4774
Be 4.4774 1.4925 1.4925
Be 4.4774 1.4925 4.4774
Be 4.4774 4.4774 1.4925
Be 4.4774 4.4774 4.4774
Tc 0.0000 0.0000 2.9849
Tc 0.0000 2.9849 0.0000
Tc 2.9849 0.0000 0.0000
Tc 2.9849 2.9849 2.9849
```

Summary:
Its theoretical density is 6.5 g/cm³.


<Q>
First-principles (PBE) data for a geometry-optimized ZrBe2Tc structure, as listed in the Alexandria database.

extended XYZ file:
```
8
Lattice="3.9143 0.0000 0.0000 0.0000 3.9143 0.0000 0.0000 0.0000 6.9681" Properties=species:S:1:pos:R:3 pbc="T T T"
Zr 0.0000 0.0000 0.0000
Zr 1.9572 1.9572 3.4841
Be 0.0000 1.9572 1.7420
Be 0.0000 1.9572 5.2261
Be 1.9572 0.0000 1.7420
Be 1.9572 0.0000 5.2261
Tc 0.0000 0.0000 3.4841
Tc 1.9572 1.9572 0.0000
```

Summary:
Its theoretical density is 6.4 g/cm³.


<R>
First-principles (PBE) data for a geometry-optimized ZrBe2Tc structure, as listed in the Alexandria database.

extended XYZ file:
```
8
Lattice="5.2524 0.0000 0.0000 0.0000 6.2638 0.0000 0.0000 0.0000 3.2579" Properties=species:S:1:pos:R:3 pbc="T T T"
Zr 0.0000 0.0000 0.0000
Zr 2.6262 3.1319 0.0000
Be 1.3131 1.5659 1.6289
Be 1.3131 4.6978 1.6289
Be 3.9393 1.5659 1.6289
Be 3.9393 4.6978 1.6289
Tc 0.0000 3.1319 0.0000
Tc 2.6262 0.0000 0.0000
```

Summary:
Its theoretical density is 6.4 g/cm³.


<Q> takes first place; second place is 7.7 kJ/mol of atoms up.


<P>
First-principles (PBE) data for a geometry-optimized BeTe structure, as listed in the Alexandria database.

extended XYZ file:
```
12
Lattice="4.0306 0.0000 0.0000 -2.0153 3.4906 0.0000 0.0000 0.0000 30.2238" Properties=species:S:1:pos:R:3 pbc="T T T"
Be 0.0000 0.0000 2.4057
Be 0.0000 0.0000 27.8181
Be 0.0000 2.3271 17.7435
Be 0.0000 2.3271 22.5549
Be 2.0153 1.1635 7.6689
Be 2.0153 1.1635 12.4803
Te 0.0000 0.0000 12.4559
Te 0.0000 0.0000 17.7679
Te 0.0000 2.3271 2.3813
Te 0.0000 2.3271 7.6933
Te 2.0153 1.1635 22.5305
Te 2.0153 1.1635 27.8425
```

Summary:
Its theoretical density is 3.2 g/cm³.


<Q>
First-principles (PBE) data for a geometry-optimized BeTe structure, as listed in the Alexandria database.

extended XYZ file:
```
16
Lattice="7.1456 0.0000 0.0000 0.0000 7.3596 0.0000 0.0000 0.0000 8.0842" Properties=species:S:1:pos:R:3 pbc="T T T"
Be 0.9126 0.4885 2.0522
Be 1.1043 4.4765 7.8386
Be 2.4685 2.8831 3.7966
Be 2.6602 6.8711 6.0942
Be 4.4854 3.1913 6.0320
Be 4.6771 6.5630 0.2455
Be 6.0413 0.7967 4.2876
Be 6.2330 4.1684 1.9899
Te 1.2120 2.9617 1.6981
Te 1.3869 0.7990 4.4760
Te 2.1859 6.5607 0.4340
Te 2.3608 4.3979 5.7402
Te 4.7848 0.7181 6.3861
Te 4.9597 2.8809 3.6081
Te 5.7587 4.4788 7.6502
Te 5.9336 6.6416 2.3440
```

Summary:
Its theoretical density is 4.3 g/cm³.


<Q> takes first place; second place is 5.2 kJ/mol of atoms up.


<P>
First-principles (PBE) data for a geometry-optimized BeTe structure, as listed in the Alexandria database.

extended XYZ file:
```
4
Lattice="3.6091 0.0000 0.0000 0.0000 3.4197 0.0000 0.0000 0.0000 7.0868" Properties=species:S:1:pos:R:3 pbc="T T T"
Be 0.9023 0.0000 0.7395
Be 2.7068 0.0000 6.3474
Te 0.9023 1.7099 5.4008
Te 2.7068 1.7099 1.6860
```

Summary:
Its theoretical density is 5.2 g/cm³.


<Q>
First-principles (PBE) data for a geometry-optimized BeTe structure, as listed in the Alexandria database.

extended XYZ file:
```
4
Lattice="3.9928 0.0000 0.0000 -1.9964 3.4578 0.0000 0.0000 0.0000 6.5901" Properties=species:S:1:pos:R:3 pbc="T T T"
Be 0.0000 2.3052 0.0000
Be 1.9964 1.1526 3.2950
Te 0.0000 2.3052 2.4622
Te 1.9964 1.1526 5.7572
```

Summary:
Its theoretical density is 5.0 g/cm³.


<Q> takes first place; second place is 69.4 kJ/mol of atoms up.


<P>
First-principles (PBE) data for a geometry-optimized BeTe structure, as listed in the Alexandria database.

extended XYZ file:
```
12
Lattice="3.9656 0.0000 0.0000 -1.9828 3.4343 0.0000 0.0000 0.0000 24.7819" Properties=species:S:1:pos:R:3 pbc="T T T"
Be 0.0000 0.0000 4.8781
Be 0.0000 0.0000 19.9038
Be 0.0000 2.2895 3.2795
Be 0.0000 2.2895 13.1919
Be 1.9828 1.1448 11.5901
Be 1.9828 1.1448 21.5024
Te 0.0000 0.0000 2.3600
Te 0.0000 0.0000 22.4219
Te 0.0000 2.2895 5.7975
Te 0.0000 2.2895 10.6726
Te 1.9828 1.1448 14.1093
Te 1.9828 1.1448 18.9844
```

Summary:
Its theoretical density is 4.0 g/cm³.


<Q>
First-principles (PBE) data for a geometry-optimized BeTe structure, as listed in the Alexandria database.

extended XYZ file:
```
2
Lattice="3.7097 0.0000 0.0000 -1.8549 3.2127 0.0000 0.0000 0.0000 3.3925" Properties=species:S:1:pos:R:3 pbc="T T T"
Be 0.0000 0.0000 0.0000
Te 0.0000 2.1418 1.6963
```

Summary:
Its theoretical density is 5.6 g/cm³.


<P> takes first place; second place is 65.0 kJ/mol of atoms up.


<P>
First-principles (PBE) data for a geometry-optimized BeTe structure, as listed in the Alexandria database.

extended XYZ file:
```
16
Lattice="10.6423 0.0000 0.0000 0.0000 10.6423 0.0000 0.0000 0.0000 3.9934" Properties=species:S:1:pos:R:3 pbc="T T T"
Be 0.6311 4.2064 0.0000
Be 1.4272 7.6274 1.9967
Be 3.0149 1.4272 1.9967
Be 4.2064 10.0112 0.0000
Be 6.4359 0.6311 0.0000
Be 7.6274 9.2151 1.9967
Be 9.2151 3.0149 1.9967
Be 10.0112 6.4359 0.0000
Te 1.0319 2.8659 1.9967
Te 1.9453 6.2813 0.0000
Te 2.8659 9.6104 1.9967
Te 4.3610 1.9453 0.0000
Te 6.2813 8.6970 0.0000
Te 7.7764 1.0319 1.9967
Te 8.6970 4.3610 0.0000
Te 9.6104 7.7764 1.9967
```

Summary:
Its theoretical density is 4.0 g/cm³.


<Q>
First-principles (PBE) data for a geometry-optimized BeTe structure, as listed in the Alexandria database.

extended XYZ file:
```
8
Lattice="6.9036 0.0000 0.0000 0.0000 6.9036 0.0000 0.0000 0.0000 4.0178" Properties=species:S:1:pos:R:3 pbc="T T T"
Be 1.1731 1.1731 0.0000
Be 2.2787 4.6249 2.0089
Be 4.6249 2.2787 2.0089
Be 5.7305 5.7305 0.0000
Te 1.3053 5.5983 0.0000
Te 2.1465 2.1465 2.0089
Te 4.7570 4.7570 2.0089
Te 5.5983 1.3053 0.0000
```

Summary:
Its theoretical density is 4.7 g/cm³.


<R>
First-principles (PBE) data for a geometry-optimized BeTe structure, as listed in the Alexandria database.

extended XYZ file:
```
8
Lattice="3.3642 0.0000 0.0000 0.0000 14.8043 0.0000 0.0000 0.0000 3.6010" Properties=species:S:1:pos:R:3 pbc="T T T"
Be 0.0000 0.7641 0.9002
Be 0.0000 14.0403 2.7007
Be 1.6821 6.6381 2.7007
Be 1.6821 8.1662 0.9002
Te 0.0000 5.6585 0.9002
Te 0.0000 9.1458 2.7007
Te 1.6821 1.7437 2.7007
Te 1.6821 13.0607 0.9002
```

Summary:
Its theoretical density is 5.1 g/cm³.


<S>
First-principles (PBE) data for a geometry-optimized BeTe structure, as listed in the Alexandria database.

extended XYZ file:
```
4
Lattice="3.8531 0.0000 0.0000 -1.9266 3.3369 0.0000 0.0000 0.0000 6.0178" Properties=species:S:1:pos:R:3 pbc="T T T"
Be 0.0000 0.0000 0.0000
Be 0.0000 0.0000 3.0089
Te 0.0000 2.2246 1.5045
Te 1.9266 1.1123 4.5134
```

Summary:
Its theoretical density is 5.9 g/cm³.


<Q> takes first place; second place is 6.6 kJ/mol of atoms up.


<P>
First-principles (PBE) data for a geometry-optimized BeTe structure, as listed in the Alexandria database.

extended XYZ file:
```
4
Lattice="3.9650 0.0000 0.0000 -1.9825 3.4338 0.0000 0.0000 0.0000 7.6557" Properties=species:S:1:pos:R:3 pbc="T T T"
Be 0.0000 2.2892 0.7988
Be 1.9825 1.1446 6.8569
Te 0.0000 2.2892 5.9361
Te 1.9825 1.1446 1.7196
```

Summary:
Its theoretical density is 4.4 g/cm³.


<Q>
First-principles (PBE) data for a geometry-optimized BeTe structure, as listed in the Alexandria database.

extended XYZ file:
```
12
Lattice="12.4398 0.0000 0.0000 0.0000 3.7505 0.0000 -3.8442 0.0000 7.6810" Properties=species:S:1:pos:R:3 pbc="T T T"
Be 0.0000 0.0000 0.0000
Be -0.7102 1.8753 1.4550
Be -1.6603 1.8753 6.5794
Be 6.2199 1.8753 0.0000
Be 5.5097 0.0000 1.4550
Be 4.5596 0.0000 6.5794
Te -2.6966 0.0000 5.6012
Te 0.7462 0.0000 2.2668
Te 3.8877 1.8753 0.5827
Te 3.5233 1.8753 5.6012
Te 6.9661 1.8753 2.2668
Te 10.1076 0.0000 0.5827
```

Summary:
Its theoretical density is 3.8 g/cm³.


<P> takes first place; second place is 32.9 kJ/mol of atoms up.


<P>
First-principles (PBE) data for a geometry-optimized BeTe structure, as listed in the Alexandria database.

extended XYZ file:
```
8
Lattice="9.9470 0.0000 0.0000 0.0000 3.9563 0.0000 0.0000 0.0000 6.1426" Properties=species:S:1:pos:R:3 pbc="T T T"
Be 2.2412 0.9891 0.3175
Be 2.7323 2.9672 3.3888
Be 7.2147 0.9891 2.7538
Be 7.7058 2.9672 5.8250
Te 1.4844 2.9672 1.3892
Te 3.4891 0.9891 4.4605
Te 6.4579 2.9672 1.6821
Te 8.4626 0.9891 4.7534
```

Summary:
Its theoretical density is 3.8 g/cm³.


<Q>
First-principles (PBE) data for a geometry-optimized BeTe structure, as listed in the Alexandria database.

extended XYZ file:
```
16
Lattice="6.9555 0.0000 0.0000 0.0000 6.9555 0.0000 0.0000 0.0000 6.9555" Properties=species:S:1:pos:R:3 pbc="T T T"
Be 0.8694 0.8694 0.8694
Be 0.8694 4.3472 4.3472
Be 2.6083 2.6083 6.0860
Be 2.6083 6.0860 2.6083
Be 4.3472 0.8694 4.3472
Be 4.3472 4.3472 0.8694
Be 6.0860 2.6083 2.6083
Be 6.0860 6.0860 6.0860
Te 0.8694 0.8694 4.3472
Te 0.8694 4.3472 0.8694
Te 2.6083 2.6083 2.6083
Te 2.6083 6.0860 6.0860
Te 4.3472 0.8694 0.8694
Te 4.3472 4.3472 4.3472
Te 6.0860 2.6083 6.0860
Te 6.0860 6.0860 2.6083
```

Summary:
Its theoretical density is 5.4 g/cm³.


<R>
First-principles (PBE) data for a geometry-optimized BeTe structure, as listed in the Alexandria database.

extended XYZ file:
```
2
Lattice="3.3586 0.0000 0.0000 0.0000 3.3586 0.0000 0.0000 0.0000 3.3586" Properties=species:S:1:pos:R:3 pbc="T T T"
Be 0.0000 0.0000 0.0000
Te 1.6793 1.6793 1.6793
```

Summary:
Its theoretical density is 6.0 g/cm³.


<S>
First-principles (PBE) data for a geometry-optimized BeTe structure, as listed in the Alexandria database.

extended XYZ file:
```
6
Lattice="5.1047 0.0000 0.0000 0.0000 5.1047 0.0000 0.0000 0.0000 5.1047" Properties=species:S:1:pos:R:3 pbc="T T T"
Be 0.0000 0.0000 2.5524
Be 0.0000 2.5524 0.0000
Be 2.5524 0.0000 0.0000
Te 0.0000 2.5524 2.5524
Te 2.5524 0.0000 2.5524
Te 2.5524 2.5524 0.0000
```

Summary:
Its theoretical density is 5.1 g/cm³.


<P> takes first place; second place is 69.0 kJ/mol of atoms up.


<P>
First-principles (PBE) data for a geometry-optimized Be3Te4 structure, as listed in the Alexandria database.

extended XYZ file:
```
7
Lattice="5.2704 0.0000 0.0000 0.0000 5.2704 0.0000 0.0000 0.0000 5.2704" Properties=species:S:1:pos:R:3 pbc="T T T"
Be 0.0000 0.0000 2.6352
Be 0.0000 2.6352 0.0000
Be 2.6352 0.0000 0.0000
Te 0.0000 0.0000 0.0000
Te 0.0000 2.6352 2.6352
Te 2.6352 0.0000 2.6352
Te 2.6352 2.6352 0.0000
```

Summary:
Its theoretical density is 6.1 g/cm³.


<Q>
First-principles (PBE) data for a geometry-optimized Be3Te4 structure, as listed in the Alexandria database.

extended XYZ file:
```
14
Lattice="3.6249 0.0000 0.0000 0.0000 3.6249 0.0000 0.0000 0.0000 23.5842" Properties=species:S:1:pos:R:3 pbc="T T T"
Be 0.0000 0.0000 0.0000
Be 0.0000 0.0000 6.8085
Be 0.0000 0.0000 16.7757
Be 1.8124 1.8124 4.9836
Be 1.8124 1.8124 11.7921
Be 1.8124 1.8124 18.6006
Te 0.0000 0.0000 4.3330
Te 0.0000 0.0000 10.3982
Te 0.0000 0.0000 13.1860
Te 0.0000 0.0000 19.2512
Te 1.8124 1.8124 1.3939
Te 1.8124 1.8124 7.4591
Te 1.8124 1.8124 16.1251
Te 1.8124 1.8124 22.1903
```

Summary:
Its theoretical density is 5.8 g/cm³.


<P> takes first place; second place is 9.1 kJ/mol of atoms up.


<P>
First-principles (PBE) data for a geometry-optimized Be3Te4 structure, as listed in the Alexandria database.

extended XYZ file:
```
7
Lattice="4.7275 0.0000 0.0000 -2.3638 4.0942 0.0000 0.0000 0.0000 8.8473" Properties=species:S:1:pos:R:3 pbc="T T T"
Be -1.1819 2.0471 0.0000
Be 2.3638 0.0000 0.0000
Be 1.1819 2.0471 0.0000
Te 0.0000 0.0000 1.6654
Te 0.0000 0.0000 7.1819
Te 0.0000 2.7294 4.4237
Te 2.3638 1.3647 4.4237
```

Summary:
Its theoretical density is 5.2 g/cm³.


<Q>
First-principles (PBE) data for a geometry-optimized Be3Te4 structure, as listed in the Alexandria database.

extended XYZ file:
```
7
Lattice="5.5737 0.0000 0.0000 0.0000 5.5737 0.0000 0.0000 0.0000 5.5737" Properties=species:S:1:pos:R:3 pbc="T T T"
Be 0.0000 0.0000 2.7868
Be 0.0000 2.7868 0.0000
Be 2.7868 0.0000 0.0000
Te 1.4149 1.4149 1.4149
Te 1.4149 4.1588 4.1588
Te 4.1588 1.4149 4.1588
Te 4.1588 4.1588 1.4149
```

Summary:
Its theoretical density is 5.2 g/cm³.


<Q> takes first place; second place is 57.7 kJ/mol of atoms up.